[1]
DFT (PBE) results for a relaxed NaLi2MgCu crystal.

Cell: 4.887 4.887 5.017 Å, 90.00 90.00 90.00°
Atoms (fractional coordinates):
Na  0.500  0.500  0.500
Mg  0.000  0.000  0.500
Cu  0.000  0.000  0.000
Li  0.000  0.500  0.000
Li  0.500  0.000  0.000

Total moment, μB/f.u.: 0.00
ΔH_f (0 K), meV per atom: 127
VASP energy, eV per atom: -2.041

---

[2]
DFT (PBE) results for a relaxed SmIn2S4 crystal.

Cell: 3.877 6.718 12.890 Å, 90.00 90.00 106.77°
Atoms (fractional coordinates):
Sm  0.615  0.231  0.750
Sm  0.385  0.769  0.250
In  0.131  0.261  0.434
In  0.869  0.739  0.934
In  0.131  0.261  0.066
In  0.869  0.739  0.566
S  0.780  0.560  0.120
S  0.780  0.560  0.380
S  0.220  0.440  0.880
S  0.220  0.440  0.620
S  0.958  0.916  0.750
S  0.042  0.084  0.250
S  0.500  0.000  0.000
S  0.500  0.000  0.500

ΔE_f (raw), eV per formula unit: -7.05
Total moment, μB/f.u.: 0.00
VASP energy, eV per atom: -4.822

---

[3]
DFT (PBE) results for a relaxed Pm2PrGa4 crystal.

Cell: 4.225 4.404 9.845 Å, 102.92 102.39 90.00°
Atoms (fractional coordinates):
Pr  0.500  0.000  0.000
Ga  0.644  0.644  0.288
Ga  0.356  0.356  0.712
Ga  0.066  0.566  0.133
Ga  0.934  0.434  0.867
Pm  0.816  0.816  0.632
Pm  0.184  0.184  0.368

Total moment, μB/f.u.: 0.00
ΔH_f (0 K), meV per atom: -642
VASP energy, eV per atom: -4.412

---

[4]
DFT (PBE) results for a relaxed KSi2Pb crystal.

Cell: 5.548 5.548 7.045 Å, 66.43 66.43 39.89°
Atoms (fractional coordinates):
K  0.750  0.750  0.750
Pb  0.250  0.250  0.250
Si  0.006  0.006  0.139
Si  0.494  0.494  0.361

ΔE_f (raw), eV per formula unit: 0.97
Total moment, μB/f.u.: 0.00
VASP energy, eV per atom: -3.670

---

[5]
DFT (PBE) results for a relaxed LaCuSb4 crystal.

Cell: 6.204 6.204 6.204 Å, 60.00 60.00 60.00°
Atoms (fractional coordinates):
La  0.000  0.000  0.000
Cu  0.750  0.750  0.750
Sb  0.871  0.376  0.376
Sb  0.376  0.376  0.871
Sb  0.376  0.871  0.376
Sb  0.376  0.376  0.376

ΔE_f (raw), eV per formula unit: 0.12
Total moment, μB/f.u.: 0.00
VASP energy, eV per atom: -4.232

---

[6]
DFT (PBE) results for a relaxed La8Er4Th crystal.

Cell: 11.869 11.869 7.920 Å, 90.00 138.53 120.00°
Atoms (fractional coordinates):
La  0.518  0.759  0.277
La  0.482  0.241  0.723
La  0.350  0.175  0.025
La  0.150  0.326  0.975
La  0.650  0.825  0.975
La  0.150  0.825  0.975
La  0.850  0.175  0.025
La  0.850  0.674  0.025
Er  0.000  0.000  0.000
Er  0.000  0.500  0.000
Er  0.500  0.500  0.000
Er  0.500  0.000  0.000
Th  0.000  0.500  0.500

Total moment, μB/f.u.: 0.00
ΔH_f (0 K), meV per atom: 408
VASP energy, eV per atom: -4.599

---

[7]
DFT (PBE) results for a relaxed LiCaHf2 crystal.

Cell: 5.080 5.080 5.080 Å, 60.00 60.00 60.00°
Atoms (fractional coordinates):
Ca  0.500  0.500  0.500
Hf  0.250  0.250  0.250
Hf  0.750  0.750  0.750
Li  0.000  0.000  0.000

Total moment, μB/f.u.: 0.00
ΔH_f (0 K), meV per atom: 721
VASP energy, eV per atom: -5.234

---

[8]
DFT (PBE) results for a relaxed CdCuPO2 crystal.

Cell: 4.002 4.002 5.486 Å, 90.00 90.00 90.00°
Each line ends with the local moment (μB).
Atoms (fractional coordinates):
P  0.000  0.000  0.500  0.12
O  0.000  0.500  0.000  0.39
O  0.500  0.000  0.000  0.39
Cu  0.500  0.500  0.500  0.00
Cd  0.000  0.000  0.000  0.02

ΔE_f (raw), eV per formula unit: 3.80
Total moment, μB/f.u.: 1.18
VASP energy, eV per atom: -3.308